# 1
An optimized crystal structure of DyTm2Th. Source: Alexandria via LeMat-Bulk, functional GGA-PBE.

Results
Distance to the lowest polymorph of the same formula = 0.1 meV per atom
Space group = No. 166

abc: 3.542 3.542 11.581
angles: 81.20 81.20 60.00
Atoms (fractional coordinates):
Tm  0.749  0.749  0.753
Tm  0.251  0.251  0.247
Th  0.000  0.000  0.000
Dy  0.500  0.500  0.500

# 2
An optimized crystal structure of Pr2PuAs4Pd3. Source: Alexandria via LeMat-Bulk, functional GGA-PBE.

Results
Space group = No. 115

abc: 4.476 4.476 10.889
angles: 90.00 90.00 90.00
Atoms (fractional coordinates):
Pr  0.500  0.000  0.220
Pr  0.000  0.500  0.780
Pu  0.500  0.500  0.500
As  0.500  0.500  0.000
As  0.000  0.000  0.000
As  0.500  0.000  0.659
As  0.000  0.500  0.341
Pd  0.000  0.000  0.500
Pd  0.500  0.000  0.889
Pd  0.000  0.500  0.111

| no. | formation energy (kJ per mole of atoms) |
| --- | --- |
| 1 | 2.2 |
| 2 | -79.2 |